First-principles (GGA-PBE) data for an optimized crystal structure of HoSbS3, as listed in OQMD via LeMat-Bulk.

Summary:
VASP energy	-5.362	eV per atom
total magnetic moment	0.0	μB/f.u.
SG	Pnma, No. 62

Cell and atoms, written as POSCAR:
```
HoSbS3
1.0
10.034 0.000 0.000
0.000 3.926 0.000
0.000 0.000 12.964
Ho Sb S
4 4 12
Direct
0.163 0.250 0.031
0.337 0.750 0.531
0.663 0.250 0.469
0.837 0.750 0.969
0.038 0.250 0.652
0.462 0.750 0.152
0.538 0.250 0.848
0.962 0.750 0.348
0.022 0.750 0.119
0.154 0.250 0.473
0.187 0.750 0.710
0.313 0.250 0.210
0.346 0.750 0.973
0.478 0.250 0.619
0.522 0.750 0.381
0.654 0.250 0.027
0.687 0.750 0.790
0.813 0.250 0.290
0.846 0.750 0.527
0.978 0.250 0.881
```